1.
A geometry-optimized ZnCoOsPb structure, computed with PBE-GGA.

Calculated values
The energy above the most stable polymorph in this dataset comes out at 0 meV/atom. The space group is F-43m (216).

```
ZnCoOsPb
1.0
0.000 3.141 3.141
3.141 0.000 3.141
3.141 3.141 0.000
Zn Co Os Pb
1 1 1 1
Direct
0.000 0.000 0.000
0.750 0.750 0.750
0.250 0.250 0.250
0.500 0.500 0.500
```

2.
A geometry-optimized CoOsPd structure, computed with PBE-GGA.

Calculated values
The value obtained for the energy of formation is 0.6587 eV/atom. The energy above the most stable polymorph in this dataset comes out at 0 meV/atom. The space group is F-43m (216).

```
CoOsPd
1.0
0.000 2.819 2.819
2.819 0.000 2.819
2.819 2.819 0.000
Co Os Pd
1 1 1
Direct
0.000 0.000 0.000
0.750 0.750 0.750
0.250 0.250 0.250
```

3.
A geometry-optimized CoSiOsPd structure, computed with PBE-GGA.

Calculated values
The energy above the most stable polymorph in this dataset comes out at 0 meV/atom. The space group is F-43m (216).

```
CoSiOsPd
1.0
0.000 2.982 2.982
2.982 0.000 2.982
2.982 2.982 0.000
Co Si Os Pd
1 1 1 1
Direct
0.000 0.000 0.000
0.750 0.750 0.750
0.500 0.500 0.500
0.250 0.250 0.250
```

4.
A geometry-optimized PrCoSi2Os structure, computed with PBE-GGA.

Calculated values
The value obtained for the raw total energy is -37.55 eV per cell. The space group is I-4m2 (119).

```
PrCoSi2Os
1.0
-2.040 2.040 5.018
2.040 -2.040 5.018
2.040 2.040 -5.018
Pr Co Si Os
1 1 2 1
Direct
0.000 0.000 0.000
0.250 0.750 0.500
0.368 0.368 0.000
0.632 0.632 0.000
0.750 0.250 0.500
```

5.
A geometry-optimized Pr2CoSi2Os structure, computed with PBE-GGA.

Calculated values
The value obtained for the raw total energy is -42.67 eV per cell. The space group is P-4m2 (115).

```
Pr2CoSi2Os
1.0
4.089 0.000 0.000
0.000 4.089 0.000
0.000 0.000 7.159
Pr Co Si Os
2 1 2 1
Direct
0.000 0.500 0.178
0.500 0.000 0.822
0.000 0.000 0.500
0.000 0.500 0.672
0.500 0.000 0.328
0.500 0.500 0.500
```

6.
A geometry-optimized CoOsPt2 structure, computed with PBE-GGA.

Calculated values
The value obtained for the energy of formation is 0.3816 eV/atom. The space group is F-43m (216).

```
CoOsPt2
1.0
0.000 3.076 3.076
3.076 0.000 3.076
3.076 3.076 0.000
Co Os Pt
1 1 2
Direct
0.000 0.000 0.000
0.750 0.750 0.750
0.250 0.250 0.250
0.500 0.500 0.500
```

What did the third record say?
A geometry-optimized CoSiOsPd structure, computed with PBE-GGA.

Calculated values
The energy above the most stable polymorph in this dataset comes out at 0 meV/atom. The space group is F-43m (216).

```
CoSiOsPd
1.0
0.000 2.982 2.982
2.982 0.000 2.982
2.982 2.982 0.000
Co Si Os Pd
1 1 1 1
Direct
0.000 0.000 0.000
0.750 0.750 0.750
0.500 0.500 0.500
0.250 0.250 0.250
```

- What is the formula in the fifth record?
  Pr2CoSi2Os